# CoTeP2 PBE optimized geometry
# * raw total energy: -5.02 eV/atom
# * space group: P4mm (99)
data_CoTeP2
_chemical_formula_sum 'Co1 Te1 P2'
_symmetry_space_group_name_H-M 'P 1'
_symmetry_Int_Tables_number 1
_symmetry_space_group_name_Hall 'P 1'
_cell_length_a 3.202
_cell_length_b 3.202
_cell_length_c 6.988
_cell_angle_alpha 90.00
_cell_angle_beta 90.00
_cell_angle_gamma 90.00
loop_
_atom_site_label
_atom_site_type_symbol
_atom_site_fract_x
_atom_site_fract_y
_atom_site_fract_z
Co1 Co 0.000 0.000 0.000
Te1 Te 0.500 0.500 0.796
P1 P 0.000 0.000 0.330
P2 P 0.500 0.500 0.214